(1)
# BaLa2TlCo, optimized geometry, DFT PBE
# Offset from the most stable computed form = 4 meV/atom
# Total magnetization = 0.00 μB per cell
# Calculated total energy = -0.319 Ry per atom
# Energy relative to the elements = -0.08 eV/atom
data_BaLa2TlCo
_cell_length_a 5.338
_cell_length_b 5.338
_cell_length_c 5.811
_cell_angle_alpha 90.00
_cell_angle_beta 90.00
_cell_angle_gamma 90.00
_space_group_name_H-M_alt 'P 1'
_space_group_IT_number 1
_space_group_name_Hall 'P 1'
loop_
_atom_site_label
_atom_site_type_symbol
_atom_site_fract_x
_atom_site_fract_y
_atom_site_fract_z
_atom_site_occupancy
La1 La 0.500 0.000 0.000 1
Ba1 Ba 0.000 0.000 0.500 1
Tl1 Tl 0.500 0.500 0.500 1
Co1 Co 0.000 0.000 0.000 1
La2 La 0.000 0.500 0.000 1

***

(2)
# Sc2CuNiH, optimized geometry, DFT PBE
# Offset from the most stable computed form = 50 meV/atom
# Total magnetization = 0.00 μB per cell
# Calculated total energy = -0.407 Ry per atom
data_Sc2CuNiH
_cell_length_a 4.500
_cell_length_b 4.500
_cell_length_c 3.390
_cell_angle_alpha 90.00
_cell_angle_beta 90.00
_cell_angle_gamma 90.00
_space_group_name_H-M_alt 'P 1'
_space_group_IT_number 1
_space_group_name_Hall 'P 1'
loop_
_atom_site_label
_atom_site_type_symbol
_atom_site_fract_x
_atom_site_fract_y
_atom_site_fract_z
_atom_site_occupancy
Sc1 Sc 0.000 0.500 0.000 1
Ni1 Ni 0.500 0.500 0.500 1
Sc2 Sc 0.500 0.000 0.000 1
Cu1 Cu 0.000 0.000 0.500 1
H1 H 0.000 0.000 0.000 1